BaCd3Rh, optimized geometry, DFT GGA-PBE; raw total energy = -2.581 eV/atom; volume = 519.26 Å³/cell; space-group type = Pnma (62); formation energy = -0.18 eV/atom
1.0
6.210 0.000 0.000
0.000 12.488 0.000
0.000 0.000 6.696
Cd Ba Rh
12 4 4
direct
0.491 0.629 0.555 Cd
0.991 0.871 0.945 Cd
0.991 0.629 0.945 Cd
0.301 0.750 0.211 Cd
0.009 0.129 0.055 Cd
0.491 0.871 0.555 Cd
0.009 0.371 0.055 Cd
0.699 0.250 0.789 Cd
0.801 0.750 0.289 Cd
0.509 0.129 0.445 Cd
0.199 0.250 0.711 Cd
0.509 0.371 0.445 Cd
0.500 0.000 0.000 Ba
0.000 0.000 0.500 Ba
0.000 0.500 0.500 Ba
0.500 0.500 0.000 Ba
0.601 0.750 0.898 Rh
0.399 0.250 0.102 Rh
0.899 0.250 0.398 Rh
0.101 0.750 0.602 Rh

BaCd2Rh2, optimized geometry, DFT GGA-PBE; raw total energy = -3.769 eV/atom; volume = 122.18 Å³/cell; space-group type = I4/mmm (139); formation energy = -0.08 eV/atom
1.0
4.878 0.000 0.000
0.000 4.878 0.000
2.439 2.439 5.135
Cd Rh Ba
2 2 1
direct
0.360 0.360 0.280 Cd
0.640 0.640 0.720 Cd
0.250 0.750 0.500 Rh
0.750 0.250 0.500 Rh
0.000 0.000 0.000 Ba

BaCdRh2, optimized geometry, DFT GGA-PBE; raw total energy = -4.244 eV/atom; volume = 87.65 Å³/cell; space-group type = Imm2 (44); formation energy = 0.14 eV/atom
1.0
-1.604 2.531 5.397
1.604 -2.531 5.397
1.604 2.531 -5.397
Ba Rh Cd
1 2 1
direct
0.490 0.490 0.000 Ba
0.214 0.714 0.500 Rh
0.016 0.016 0.000 Rh
0.780 0.280 0.500 Cd

Ba4Cd5Rh2, optimized geometry, DFT GGA-PBE; raw total energy = -2.706 eV/atom; volume = 362.29 Å³/cell; space-group type = P2/m (10); formation energy = -0.25 eV/atom
1.0
4.826 0.000 0.000
0.000 7.928 -0.336
0.000 0.616 9.443
Ba Cd Rh
4 5 2
direct
0.500 0.207 0.841 Ba
0.500 0.774 0.606 Ba
0.500 0.793 0.159 Ba
0.500 0.226 0.394 Ba
0.000 0.595 0.365 Cd
0.000 0.405 0.635 Cd
0.000 0.864 0.876 Cd
0.000 0.500 0.000 Cd
0.000 0.136 0.124 Cd
0.000 0.945 0.372 Rh
0.000 0.055 0.628 Rh